Record 1
UTcIr2 | PBE | relaxed

Cell and atoms, written as CIF:
```
data_UTcIr2
_cell_length_a 4.002
_cell_length_b 4.002
_cell_length_c 4.115
_cell_angle_alpha 90.00
_cell_angle_beta 90.00
_cell_angle_gamma 90.00
_symmetry_space_group_name_H-M 'P 4/m m m'
_symmetry_Int_Tables_number 123
_symmetry_space_group_name_Hall '-P 4 2'
loop_
_atom_site_label
_atom_site_fract_x
_atom_site_fract_y
_atom_site_fract_z
U1 0.000 0.000 0.000
Tc1 0.500 0.500 0.000
Ir1 0.000 0.500 0.500
```

Record 2
UTcIr | PBE | relaxed

Cell and atoms, written as CIF:
```
data_UTcIr
_cell_length_a 6.270
_cell_length_b 6.270
_cell_length_c 6.270
_cell_angle_alpha 90.00
_cell_angle_beta 90.00
_cell_angle_gamma 90.00
_symmetry_space_group_name_H-M 'F -4 3 m'
_symmetry_Int_Tables_number 216
_symmetry_space_group_name_Hall 'F -4 2 3'
loop_
_atom_site_label
_atom_site_fract_x
_atom_site_fract_y
_atom_site_fract_z
U1 0.000 0.000 0.000
Tc1 0.250 0.250 0.250
Ir1 0.250 0.250 0.750
```

Number 1: VASP energy -41.55 eV/cell. Number 2: VASP energy -118.88 eV/cell.